Record 1
! Ti3CuMo | the Alexandria database | PBE-GGA | relaxed; values from VASP
! * calculated formation energy: 904.7 meV/atom
&SYSTEM
  ibrav = 0, nat = 5, ntyp = 3
/
ATOMIC_SPECIES
Ti 47.87 Ti.upf
Cu 63.55 Cu.upf
Mo 95.94 Mo.upf
CELL_PARAMETERS angstrom
4.5105 0.0000 0.0000
0.0000 4.5105 0.0000
0.0000 0.0000 4.5105
ATOMIC_POSITIONS angstrom
Ti 0.0000 0.0000 2.2553
Ti 0.0000 2.2553 0.0000
Ti 2.2553 0.0000 0.0000
Cu 0.0000 0.0000 0.0000
Mo 2.2553 2.2553 2.2553


Record 2
! Ti4CuMo | the Alexandria database | PBE-GGA | relaxed; values from VASP
! * calculated formation energy: -46.2 meV/atom
&SYSTEM
  ibrav = 0, nat = 6, ntyp = 3
/
ATOMIC_SPECIES
Ti 47.87 Ti.upf
Cu 63.55 Cu.upf
Mo 95.94 Mo.upf
CELL_PARAMETERS angstrom
3.1410 0.0000 0.0000
0.0000 3.1410 0.0000
0.0000 0.0000 9.6544
ATOMIC_POSITIONS angstrom
Ti 0.0000 0.0000 1.5462
Ti 0.0000 0.0000 8.1082
Ti 1.5705 1.5705 3.2704
Ti 1.5705 1.5705 6.3840
Cu 0.0000 0.0000 4.8272
Mo 1.5705 1.5705 0.0000


Record 3
! Ti3CuMo | the Alexandria database | PBE-GGA | relaxed; values from VASP
! * calculated formation energy: 965.3 meV/atom
&SYSTEM
  ibrav = 0, nat = 5, ntyp = 3
/
ATOMIC_SPECIES
Ti 47.87 Ti.upf
Cu 63.55 Cu.upf
Mo 95.94 Mo.upf
CELL_PARAMETERS angstrom
4.7127 0.0000 0.0000
0.0000 4.7127 0.0000
0.0000 0.0000 4.7127
ATOMIC_POSITIONS angstrom
Ti 0.0000 0.0000 2.3564
Ti 0.0000 2.3564 0.0000
Ti 2.3564 0.0000 0.0000
Cu 2.3564 2.3564 2.3564
Mo 0.0000 0.0000 0.0000


Record 4
! TiCuMo3 | the Alexandria database | PBE-GGA | relaxed; values from VASP
! * calculated formation energy: 1462.6 meV/atom
&SYSTEM
  ibrav = 0, nat = 5, ntyp = 3
/
ATOMIC_SPECIES
Ti 47.87 Ti.upf
Cu 63.55 Cu.upf
Mo 95.94 Mo.upf
CELL_PARAMETERS angstrom
4.5151 0.0000 0.0000
0.0000 4.5151 0.0000
0.0000 0.0000 4.5151
ATOMIC_POSITIONS angstrom
Ti 0.0000 0.0000 0.0000
Cu 2.2576 2.2576 2.2576
Mo 0.0000 2.2576 2.2576
Mo 2.2576 0.0000 2.2576
Mo 2.2576 2.2576 0.0000


Record 5
! Ti2Cu2Mo | the Alexandria database | PBE-GGA | relaxed; values from VASP
! * calculated formation energy: 164.4 meV/atom
&SYSTEM
  ibrav = 0, nat = 10, ntyp = 3
/
ATOMIC_SPECIES
Ti 47.87 Ti.upf
Cu 63.55 Cu.upf
Mo 95.94 Mo.upf
CELL_PARAMETERS angstrom
7.1954 0.0000 0.0000
0.0000 7.1954 0.0000
0.0000 0.0000 2.8829
ATOMIC_POSITIONS angstrom
Ti 1.1687 2.4290 0.0000
Ti 2.4290 6.0267 0.0000
Ti 4.7664 1.1687 0.0000
Ti 6.0267 4.7664 0.0000
Cu 0.9552 4.5529 1.4414
Cu 2.6425 0.9552 1.4414
Cu 4.5529 6.2403 1.4414
Cu 6.2403 2.6425 1.4414
Mo 0.0000 0.0000 0.0000
Mo 3.5977 3.5977 0.0000


Record 6
! TiCuMo | the Alexandria database | PBE-GGA | relaxed; values from VASP
! * calculated formation energy: -15.4 meV/atom
&SYSTEM
  ibrav = 0, nat = 6, ntyp = 3
/
ATOMIC_SPECIES
Ti 47.87 Ti.upf
Cu 63.55 Cu.upf
Mo 95.94 Mo.upf
CELL_PARAMETERS angstrom
6.5827 -1.6428 0.0000
6.5827 1.6428 0.0000
-0.0062 0.0000 4.0536
ATOMIC_POSITIONS angstrom
Ti 1.1483 0.0000 1.0144
Ti 12.0110 0.0000 3.0393
Cu 3.2877 0.0000 3.0403
Cu 9.8715 0.0000 1.0133
Mo 5.4364 0.0000 1.0123
Mo 7.7228 0.0000 3.0414


| no. | DFT total energy (eV/atom) | V (Å³/f.u.) | excess energy over the best structure of this formula in the dataset (meV per atom) |
| --- | --- | --- | --- |
| 1 | -6.82 | 91.8 | 0.0 |
| 2 | -7.80 | 95.2 | 0.0 |
| 3 | -6.76 | 104.7 | 60.6 |
| 4 | -7.43 | 92.0 | 0.0 |
| 5 | -6.80 | 74.6 | 182.8 |
| 6 | -7.62 | 43.8 | 0.0 |